Below is an optimized crystal structure of Cs5Hg4Pb2, with properties calculated at the PBE level.

Summary:
DFT formation energy: -0.052 eV/atom
V: 45.86 Å³/atom
Raw total energy: -26.94 eV/cell

Cell: 13.324 7.448 11.712 Å, 90.00 119.76 90.00°
Space group C2/m (No. 12)
Inequivalent atoms, fractional coordinates:
Cs 0.000 0.000 0.000
Cs 0.070 0.252 0.365
Hg 0.180 0.500 0.959
Hg 0.204 0.500 0.710
Pb 0.227 0.000 0.751